Computed, not measured: an optimized crystal structure of LaAuS2N at the PBE level of DFT.

## Properties
total energy = -21.8 eV/cell
V = 27.55 Å³ per atom
polymorph energy (0 for the lowest one) = 766 meV per atom
formation energy without anion corrections = 3.02 eV/f.u.

Cell: 5.6574 5.6574 4.3037 Å, 90.00 90.00 90.00°
Fractional positions:
La1 0.0000 0.0000 0.0000
Au1 0.5000 0.5000 0.5000
S1 0.0000 0.5000 0.0000
S2 0.5000 0.0000 0.0000
N1 0.0000 0.0000 0.5000

---

Computed, not measured: an optimized crystal structure of La2ScAuN at the PBE level of DFT.

## Properties
total energy = -32.4 eV/cell
V = 23.27 Å³ per atom
polymorph energy (0 for the lowest one) = 0 meV per atom
formation energy without anion corrections = -4.64 eV/f.u.

Cell: 5.2107 5.2107 4.2847 Å, 90.00 90.00 90.00°
Fractional positions:
La1 0.0000 0.5000 0.0000
La2 0.5000 0.0000 0.0000
Sc1 0.0000 0.0000 0.5000
Au1 0.5000 0.5000 0.5000
N1 0.0000 0.0000 0.0000

---

Computed, not measured: an optimized crystal structure of La2ScAuN at the PBE level of DFT.

## Properties
total energy = -25.1 eV/cell
V = 28.97 Å³ per atom
polymorph energy (0 for the lowest one) = 1476 meV per atom
formation energy without anion corrections = 2.74 eV/f.u.

Cell: 6.1662 6.1662 3.8096 Å, 90.00 90.00 90.00°
Fractional positions:
La1 0.0000 0.5000 0.0000
La2 0.5000 0.0000 0.0000
Sc1 0.0000 0.0000 0.5000
Au1 0.5000 0.5000 0.0000
N1 0.5000 0.5000 0.5000